No. 1
PmPuTc | PBE-GGA | relaxed

space group	No. 12
formation enthalpy at 0 K	0.081	eV/f.u.
ΔE to the lowest computed polymorph	0	meV per atom

Lattice parameters (Å, degrees): 11.3502 4.1422 7.9802 90.00 128.16 90.00
Closest atoms and distances in Å follow each position.
Sites, in units of the cell vectors:
Pm: 0.0748 0.0000 0.3450  5 Tc 3.18-3.27, 2 Pu 3.47-3.52
Pm: 0.4252 0.5000 0.6550  5 Tc 3.18-3.27, 2 Pu 3.47-3.52
Pm: 0.5748 0.5000 0.3450  5 Tc 3.18-3.27, 2 Pu 3.47-3.52
Pm: 0.9252 0.0000 0.6550  5 Tc 3.18-3.27, 2 Pu 3.47-3.52
Pu: 0.1898 0.5000 0.1020  2 Tc 2.51
Pu: 0.3102 0.0000 0.8980  2 Tc 2.51
Pu: 0.6898 0.0000 0.1020  2 Tc 2.51
Pu: 0.8102 0.5000 0.8980  2 Tc 2.51
Tc: 0.1612 0.5000 0.7071  2 Pu 2.51
Tc: 0.3388 0.0000 0.2929  2 Pu 2.51
Tc: 0.6612 0.0000 0.7071  2 Pu 2.51
Tc: 0.8388 0.5000 0.2929  2 Pu 2.51

No. 2
PuPaSb | PBE-GGA | relaxed

raw formation energy	-409	meV/atom
space group	No. 107
ΔE to the lowest computed polymorph	0	meV per atom

Lattice parameters (Å, degrees): 4.1040 4.1040 9.1470 90.00 90.00 90.00
Closest atoms and distances in Å follow each position.
Sites, in units of the cell vectors:
Pu: 0.0000 0.0000 0.0000  1 Pa 2.67
Pu: 0.5000 0.5000 0.5000  1 Pa 2.67
Pa: 0.0000 0.0000 0.7082  1 Pu 2.67
Pa: 0.5000 0.5000 0.2082  1 Pu 2.67
Sb: 0.0000 0.0000 0.3550  5 Pu 3.19-3.25, 5 Pa 3.20-3.23
Sb: 0.5000 0.5000 0.8550  5 Pu 3.19-3.25, 5 Pa 3.20-3.23

No. 3
Na2RhPb2 | PBE-GGA | relaxed

space group	No. 14
formation enthalpy at 0 K	-0.255	eV/f.u.
ΔE to the lowest computed polymorph	0	meV per atom

Lattice parameters (Å, degrees): 11.6209 6.2476 7.5608 90.00 99.31 90.00
Closest atoms and distances in Å follow each position.
Sites, in units of the cell vectors:
Na: 0.0307 0.2494 0.1323  2 Pb 3.26, 2 Na 3.54-3.55
Na: 0.0307 0.2506 0.6323  2 Pb 3.26, 2 Na 3.54-3.55
Na: 0.2919 0.2500 0.4487  2 Rh 3.28, 4 Pb 3.42-3.43, 2 Na 3.54-3.55
Na: 0.2919 0.2500 0.9487  2 Rh 3.28, 4 Pb 3.42-3.43, 2 Na 3.54-3.55
Na: 0.7081 0.7500 0.0513  2 Rh 3.28, 4 Pb 3.42-3.43, 2 Na 3.54-3.55
Na: 0.7081 0.7500 0.5513  2 Rh 3.28, 4 Pb 3.42-3.43, 2 Na 3.54-3.55
Na: 0.9693 0.7494 0.3677  2 Pb 3.26, 2 Na 3.54-3.55
Na: 0.9693 0.7506 0.8677  2 Pb 3.26, 2 Na 3.54-3.55
Rh: 0.3786 0.7501 0.4699  6 Pb 2.78-2.82
Rh: 0.3786 0.7499 0.9699  6 Pb 2.78-2.82
Rh: 0.6214 0.2501 0.0301  6 Pb 2.78-2.82
Rh: 0.6214 0.2499 0.5301  6 Pb 2.78-2.82
Pb: 0.2010 0.7488 0.1758  2 Rh 2.78
Pb: 0.2010 0.7512 0.6758  2 Rh 2.78
Pb: 0.4998 0.0003 0.2499  4 Rh 2.82, 2 Pb 3.12
Pb: 0.5002 0.9997 0.7501  4 Rh 2.82, 2 Pb 3.12
Pb: 0.5002 0.5003 0.2501  4 Rh 2.82, 2 Pb 3.12
Pb: 0.4998 0.4997 0.7499  4 Rh 2.82, 2 Pb 3.12
Pb: 0.7990 0.2488 0.3242  2 Rh 2.78
Pb: 0.7990 0.2512 0.8242  2 Rh 2.78

No. 4
La2HoThBi4 | PBE-GGA | relaxed

space group	No. 10
formation enthalpy at 0 K	-7.143	eV/f.u.

Lattice parameters (Å, degrees): 7.9728 4.6206 8.0166 90.00 109.46 90.00
Closest atoms and distances in Å follow each position.
Sites, in units of the cell vectors:
La: 0.0000 0.0000 0.0000  6 Bi 3.29
La: 0.5000 0.5000 0.0000  6 Bi 3.33
Ho: 0.0000 0.5000 0.5000  6 Bi 3.20
Th: 0.5000 0.0000 0.5000  6 Bi 3.24
Bi: 0.2424 0.0000 0.7385  2 Ho 3.20, 1 Th 3.24, 3 La 3.29-3.33
Bi: 0.2487 0.5000 0.2582  1 Ho 3.20, 2 Th 3.24, 3 La 3.29-3.33
Bi: 0.7513 0.5000 0.7418  1 Ho 3.20, 2 Th 3.24, 3 La 3.29-3.33
Bi: 0.7576 0.0000 0.2615  2 Ho 3.20, 1 Th 3.24, 3 La 3.29-3.33

No. 5
BaNaMgAu2 | PBE-GGA | relaxed

space group	No. 119
formation enthalpy at 0 K	-2.555	eV/f.u.

Lattice parameters (Å, degrees): 4.5557 4.5557 13.0688 90.00 90.00 90.00
Closest atoms and distances in Å follow each position.
Sites, in units of the cell vectors:
Ba: 0.0000 0.0000 0.0000  8 Au 3.53
Ba: 0.5000 0.5000 0.5000  8 Au 3.53
Na: 0.0000 0.5000 0.7500  4 Au 2.91, 4 Mg 3.22
Na: 0.5000 0.0000 0.2500  4 Au 2.91, 4 Mg 3.22
Mg: 0.0000 0.5000 0.2500  4 Au 2.91, 4 Na 3.22
Mg: 0.5000 0.0000 0.7500  4 Au 2.91, 4 Na 3.22
Au: 0.0000 0.0000 0.3891  1 Au 2.90, 2 Na 2.91, 2 Mg 2.91
Au: 0.0000 0.0000 0.6109  1 Au 2.90, 2 Na 2.91, 2 Mg 2.91
Au: 0.5000 0.5000 0.1109  1 Au 2.90, 2 Na 2.91, 2 Mg 2.91
Au: 0.5000 0.5000 0.8891  1 Au 2.90, 2 Na 2.91, 2 Mg 2.91

No. 6
Tl3ZnTe | PBE-GGA | relaxed

raw formation energy	361	meV/atom
space group	No. 221
ΔE to the lowest computed polymorph	328	meV per atom

Lattice parameters (Å, degrees): 6.5016 6.5016 6.5016 90.00 90.00 90.00
Closest atoms and distances in Å follow each position.
Sites, in units of the cell vectors:
Tl: 0.0000 0.0000 0.5000  2 Te 3.25
Tl: 0.0000 0.5000 0.0000  2 Te 3.25
Tl: 0.5000 0.0000 0.0000  2 Te 3.25
Zn: 0.5000 0.5000 0.5000  12 Tl 4.60
Te: 0.0000 0.0000 0.0000  6 Tl 3.25

No. 7
CuTe2Pd2 | PBE-GGA | relaxed

raw formation energy	-13	meV/atom
space group	No. 127

Lattice parameters (Å, degrees): 7.3013 7.3013 3.8548 90.00 90.00 90.00
Closest atoms and distances in Å follow each position.
Sites, in units of the cell vectors:
Cu: 0.0000 0.0000 0.0000  4 Te 2.70
Cu: 0.5000 0.5000 0.0000  4 Te 2.70
Te: 0.1739 0.3261 0.0000  2 Cu 2.70, 6 Pd 2.76-2.98
Te: 0.3261 0.8261 0.0000  2 Cu 2.70, 6 Pd 2.76-2.98
Te: 0.6739 0.1739 0.0000  2 Cu 2.70, 6 Pd 2.76-2.98
Te: 0.8261 0.6739 0.0000  2 Cu 2.70, 6 Pd 2.76-2.98
Pd: 0.1350 0.6350 0.5000  6 Te 2.76-2.98, 1 Pd 2.79
Pd: 0.3650 0.1350 0.5000  6 Te 2.76-2.98, 1 Pd 2.79
Pd: 0.6350 0.8650 0.5000  6 Te 2.76-2.98, 1 Pd 2.79
Pd: 0.8650 0.3650 0.5000  6 Te 2.76-2.98, 1 Pd 2.79

No. 8
V5Ga3Se12 | PBE-GGA | relaxed

raw formation energy	-411	meV/atom
space group	No. 230

Lattice parameters (Å, degrees): 13.6299 13.6299 13.6299 109.47 109.47 109.47
Closest atoms and distances in Å follow each position.
Sites, in units of the cell vectors:
V: 0.0000 0.0000 0.0000  6 Se 2.54
V: 0.0000 0.0000 0.5000  6 Se 2.54
V: 0.0000 0.5000 0.0000  6 Se 2.54
V: 0.0000 0.5000 0.5000  6 Se 2.54
V: 0.1250 0.7500 0.8750  4 Se 2.31
V: 0.1250 0.8750 0.2500  4 Se 2.31
V: 0.2500 0.1250 0.8750  4 Se 2.31
V: 0.2500 0.6250 0.3750  4 Se 2.31
V: 0.3750 0.2500 0.6250  4 Se 2.31
V: 0.3750 0.6250 0.7500  4 Se 2.31
V: 0.5000 0.0000 0.0000  6 Se 2.54
V: 0.5000 0.0000 0.5000  6 Se 2.54
V: 0.5000 0.5000 0.0000  6 Se 2.54
V: 0.5000 0.5000 0.5000  6 Se 2.54
V: 0.6250 0.3750 0.2500  4 Se 2.31
V: 0.6250 0.7500 0.3750  4 Se 2.31
V: 0.7500 0.3750 0.6250  4 Se 2.31
V: 0.7500 0.8750 0.1250  4 Se 2.31
V: 0.8750 0.1250 0.7500  4 Se 2.31
V: 0.8750 0.2500 0.1250  4 Se 2.31
Ga: 0.1250 0.2500 0.3750  8 Se 3.06-3.17
Ga: 0.1250 0.3750 0.7500  8 Se 3.06-3.17
Ga: 0.2500 0.3750 0.1250  8 Se 3.06-3.17
Ga: 0.2500 0.8750 0.6250  8 Se 3.06-3.17
Ga: 0.3750 0.1250 0.2500  8 Se 3.06-3.17
Ga: 0.3750 0.7500 0.1250  8 Se 3.06-3.17
Ga: 0.6250 0.2500 0.8750  8 Se 3.06-3.17
Ga: 0.6250 0.8750 0.7500  8 Se 3.06-3.17
Ga: 0.7500 0.1250 0.3750  8 Se 3.06-3.17
Ga: 0.7500 0.6250 0.8750  8 Se 3.06-3.17
Ga: 0.8750 0.6250 0.2500  8 Se 3.06-3.17
Ga: 0.8750 0.7500 0.6250  8 Se 3.06-3.17
Se: 0.0202 0.2018 0.1165  2 V 2.31-2.54
Se: 0.0202 0.3184 0.9038  2 V 2.31-2.54
Se: 0.0853 0.7018 0.6816  2 V 2.31-2.54
Se: 0.0853 0.8835 0.4038  2 V 2.31-2.54
Se: 0.0962 0.6165 0.4147  2 V 2.31-2.54
Se: 0.0962 0.9798 0.6816  2 V 2.31-2.54
Se: 0.1165 0.0202 0.2018  2 V 2.31-2.54
Se: 0.1165 0.5962 0.9147  2 V 2.31-2.54
Se: 0.1816 0.2018 0.5853  2 V 2.31-2.54
Se: 0.1816 0.4798 0.5962  2 V 2.31-2.54
Se: 0.2018 0.1165 0.0202  2 V 2.31-2.54
Se: 0.2018 0.5853 0.1816  2 V 2.31-2.54
Se: 0.2982 0.3184 0.9147  2 V 2.31-2.54
Se: 0.2982 0.4798 0.3835  2 V 2.31-2.54
Se: 0.3184 0.9038 0.0202  2 V 2.31-2.54
Se: 0.3184 0.9147 0.2982  2 V 2.31-2.54
Se: 0.3835 0.2982 0.4798  2 V 2.31-2.54
Se: 0.3835 0.5853 0.9038  2 V 2.31-2.54
Se: 0.4038 0.0853 0.8835  2 V 2.31-2.54
Se: 0.4038 0.8184 0.5202  2 V 2.31-2.54
Se: 0.4147 0.0962 0.6165  2 V 2.31-2.54
Se: 0.4147 0.8184 0.7982  2 V 2.31-2.54
Se: 0.4798 0.3835 0.2982  2 V 2.31-2.54
Se: 0.4798 0.5962 0.1816  2 V 2.31-2.54
Se: 0.5202 0.4038 0.8184  2 V 2.31-2.54
Se: 0.5202 0.6165 0.7018  2 V 2.31-2.54
Se: 0.5853 0.1816 0.2018  2 V 2.31-2.54
Se: 0.5853 0.9038 0.3835  2 V 2.31-2.54
Se: 0.5962 0.1816 0.4798  2 V 2.31-2.54
Se: 0.5962 0.9147 0.1165  2 V 2.31-2.54
Se: 0.6165 0.4147 0.0962  2 V 2.31-2.54
Se: 0.6165 0.7018 0.5202  2 V 2.31-2.54
Se: 0.6816 0.0853 0.7018  2 V 2.31-2.54
Se: 0.6816 0.0962 0.9798  2 V 2.31-2.54
Se: 0.7018 0.5202 0.6165  2 V 2.31-2.54
Se: 0.7018 0.6816 0.0853  2 V 2.31-2.54
Se: 0.7982 0.4147 0.8184  2 V 2.31-2.54
Se: 0.7982 0.8835 0.9798  2 V 2.31-2.54
Se: 0.8184 0.5202 0.4038  2 V 2.31-2.54
Se: 0.8184 0.7982 0.4147  2 V 2.31-2.54
Se: 0.8835 0.4038 0.0853  2 V 2.31-2.54
Se: 0.8835 0.9798 0.7982  2 V 2.31-2.54
Se: 0.9038 0.0202 0.3184  2 V 2.31-2.54
Se: 0.9038 0.3835 0.5853  2 V 2.31-2.54
Se: 0.9147 0.1165 0.5962  2 V 2.31-2.54
Se: 0.9147 0.2982 0.3184  2 V 2.31-2.54
Se: 0.9798 0.6816 0.0962  2 V 2.31-2.54
Se: 0.9798 0.7982 0.8835  2 V 2.31-2.54

No. 9
Sm2MgAg3 | PBE-GGA | relaxed

space group	No. 164
formation enthalpy at 0 K	-1.623	eV/f.u.
ΔE to the lowest computed polymorph	0	meV per atom

Lattice parameters (Å, degrees): 5.1171 5.1171 12.4432 90.00 90.00 120.00
Closest atoms and distances in Å follow each position.
Sites, in units of the cell vectors:
Sm: 0.0000 0.0000 0.0000  8 Ag 3.14-3.16
Sm: 0.0000 0.0000 0.5000  8 Ag 3.06-3.10
Sm: 0.3333 0.6667 0.1794  8 Ag 3.06-3.30
Sm: 0.6667 0.3333 0.8206  8 Ag 3.06-3.30
Mg: 0.3333 0.6667 0.6638  8 Ag 2.96-3.16
Mg: 0.6667 0.3333 0.3362  8 Ag 2.96-3.16
Ag: 0.0000 0.0000 0.2539  5 Sm 3.06-3.16, 3 Mg 3.13
Ag: 0.0000 0.0000 0.7461  5 Sm 3.06-3.16, 3 Mg 3.13
Ag: 0.3333 0.6667 0.4256  4 Mg 2.96-3.16, 4 Sm 3.06-3.10
Ag: 0.3333 0.6667 0.9141  1 Mg 3.11, 7 Sm 3.14-3.30
Ag: 0.6667 0.3333 0.0859  1 Mg 3.11, 7 Sm 3.14-3.30
Ag: 0.6667 0.3333 0.5744  4 Mg 2.96-3.16, 4 Sm 3.06-3.10

No. 10
BaLaBr2 | PBE-GGA | relaxed

raw formation energy	-1257	meV/atom
space group	No. 71
ΔE to the lowest computed polymorph	112	meV per atom

Lattice parameters (Å, degrees): 3.9624 7.2998 10.2612 90.00 90.00 90.00
Closest atoms and distances in Å follow each position.
Sites, in units of the cell vectors:
Ba: 0.0000 0.0000 0.0000  4 Br 3.39
Ba: 0.5000 0.5000 0.5000  4 Br 3.39
La: 0.0000 0.0000 0.5000  4 Br 3.09
La: 0.5000 0.5000 0.0000  4 Br 3.09
Br: 0.0000 0.5000 0.2316  2 La 3.09, 2 Ba 3.39
Br: 0.0000 0.5000 0.7684  2 La 3.09, 2 Ba 3.39
Br: 0.5000 0.0000 0.2684  2 La 3.09, 2 Ba 3.39
Br: 0.5000 0.0000 0.7316  2 La 3.09, 2 Ba 3.39

No. 11
NaSm2Tm3Se6 | PBE-GGA | relaxed

raw formation energy	-1736	meV/atom
space group	No. 12

Lattice parameters (Å, degrees): 9.2101 9.2101 8.2732 103.67 103.67 25.49
Closest atoms and distances in Å follow each position.
Sites, in units of the cell vectors:
Na: 0.0000 0.0000 0.0000  6 Se 2.94-2.95
Sm: 0.3285 0.3285 0.6548  6 Se 2.92-3.01
Sm: 0.6715 0.6715 0.3452  6 Se 2.92-3.01
Tm: 0.0000 0.0000 0.5000  6 Se 2.81-2.85
Tm: 0.3338 0.3338 0.1723  6 Se 2.80-2.87
Tm: 0.6662 0.6662 0.8277  6 Se 2.80-2.87
Se: 0.1610 0.1610 0.5925  3 Tm 2.80-2.81, 3 Sm 2.92-2.93
Se: 0.1691 0.1691 0.0750  3 Tm 2.87, 1 Na 2.95, 2 Sm 3.01
Se: 0.4985 0.4985 0.2569  3 Tm 2.85-2.87, 2 Na 2.94, 1 Sm 3.01
Se: 0.5015 0.5015 0.7431  3 Tm 2.85-2.87, 2 Na 2.94, 1 Sm 3.01
Se: 0.8309 0.8309 0.9250  3 Tm 2.87, 1 Na 2.95, 2 Sm 3.01
Se: 0.8390 0.8390 0.4075  3 Tm 2.80-2.81, 3 Sm 2.92-2.93

No. 12
PaMn2Nb | PBE-GGA | relaxed

space group	No. 123
formation enthalpy at 0 K	0.322	eV/f.u.
ΔE to the lowest computed polymorph	0	meV per atom

Lattice parameters (Å, degrees): 4.5565 4.5565 3.1515 90.00 90.00 90.00
Closest atoms and distances in Å follow each position.
Sites, in units of the cell vectors:
Pa: 0.0000 0.0000 0.0000  8 Mn 2.77
Mn: 0.0000 0.5000 0.5000  4 Nb 2.77, 4 Pa 2.77
Mn: 0.5000 0.0000 0.5000  4 Nb 2.77, 4 Pa 2.77
Nb: 0.5000 0.5000 0.0000  8 Mn 2.77

no.,volume (Å³/cell),uncorrected energy (eV per atom)
1,295.0,-9.789
2,154.1,-9.726
3,541.7,-3.532
4,278.5,-5.565
5,271.2,-2.789
6,274.8,-1.942
7,205.5,-4.166
8,1949.2,-5.235
9,282.2,-3.535
10,296.8,-3.806
11,293.0,-5.493
12,65.4,-9.396